# 1
The following is a DFT calculation (GGA-PBEsol) of a geometry-optimized YRhW2 structure.

Properties
size of the total moment: 0.0 μB/cell
density of states at the Fermi level: 0.39 states/eV per atom
formation energy: 0.070 eV/atom
ρ: 13.3 Mg/m³
excess energy over the best structure of this formula in the dataset: 0 meV per atom

Cell lengths 3.2205, 3.2205, 6.7247 Å; angles 90.00, 90.00, 90.00 degrees
Positions (direct):
1 Y 0.0000 0.0000 0.0000
2 Rh 0.5000 0.5000 0.2657
3 W 0.0000 0.0000 0.5029
4 W 0.5000 0.5000 0.7057



# 2
The following is a DFT calculation (GGA-PBEsol) of a geometry-optimized CaHgSCl2 structure.

Properties
size of the total moment: 0.0 μB/cell
density of states at the Fermi level: 0.11 states/eV per atom
ρ: 4.3 Mg/m³
energy relative to the elements, uncorrected: -3.99 eV/f.u.

Cell lengths 5.1412, 5.1412, 5.0281 Å; angles 90.00, 90.00, 90.00 degrees
Positions (direct):
1 Ca 0.0000 0.0000 0.0000
2 Hg 0.5000 0.5000 0.5000
3 S 0.5000 0.5000 0.0000
4 Cl 0.0000 0.5000 0.5000
5 Cl 0.5000 0.0000 0.5000



# 3
The following is a DFT calculation (GGA-PBEsol) of a geometry-optimized Zn2Ir structure.

Properties
size of the total moment: 0.0 μB/cell
density of states at the Fermi level: 0.28 states/eV per atom
formation energy: -0.168 eV/atom
ρ: 13.3 Mg/m³

Cell lengths 4.8235, 4.8235, 4.8235 Å; angles 143.02, 143.02, 53.29 degrees
Positions (direct):
1 Zn 0.1661 0.1661 0.0000
2 Zn 0.8339 0.8339 0.0000
3 Ir 0.5000 0.5000 0.0000



# 4
The following is a DFT calculation (GGA-PBEsol) of a geometry-optimized Cs2Cu2Pb structure.

Properties
size of the total moment: 0.0 μB/cell
density of states at the Fermi level: 0.76 states/eV per atom
formation energy: 0.303 eV/atom
ρ: 6.9 Mg/m³

Cell lengths 12.2400, 12.2400, 12.2400 Å; angles 163.69, 163.69, 23.15 degrees
Positions (direct):
1 Cs 0.1263 0.1263 0.0000
2 Cs 0.8737 0.8737 0.0000
3 Cu 0.2500 0.7500 0.5000
4 Cu 0.7500 0.2500 0.5000
5 Pb 0.5000 0.5000 0.0000



# 5
The following is a DFT calculation (GGA-PBEsol) of a geometry-optimized Sc3Be structure.

Properties
size of the total moment: 0.0 μB/cell
density of states at the Fermi level: 1.33 states/eV per atom
formation energy: 0.177 eV/atom
ρ: 3.1 Mg/m³
excess energy over the best structure of this formula in the dataset: 168 meV per atom

Cell lengths 5.2203, 5.2203, 5.2203 Å; angles 132.05, 132.05, 70.15 degrees
Positions (direct):
1 Sc 0.0000 0.0000 0.0000
2 Sc 0.2500 0.7500 0.5000
3 Sc 0.7500 0.2500 0.5000
4 Be 0.5000 0.5000 0.0000



# 6
The following is a DFT calculation (GGA-PBEsol) of a geometry-optimized SrCrTcAs2 structure.

Properties
size of the total moment: 7.3 μB/cell
density of states at the Fermi level: 1.15 states/eV per atom
formation energy: 2.175 eV/atom
ρ: 4.4 Mg/m³

Cell lengths 5.4301, 5.4301, 4.9645 Å; angles 90.00, 90.00, 90.00 degrees
Positions (direct):
1 Sr 0.0000 0.0000 0.0000
2 Cr 0.5000 0.5000 0.5000
3 Tc 0.0000 0.0000 0.5000
4 As 0.0000 0.5000 0.0000
5 As 0.5000 0.0000 0.0000



# 7
The following is a DFT calculation (GGA-PBEsol) of a geometry-optimized VP2Pb2O9 structure.

Properties
size of the total moment: 4.0 μB/cell
ρ: 5.8 Mg/m³
energy relative to the elements, uncorrected: -28.69 eV/f.u.

Cell lengths 9.8115, 9.0218, 8.7486 Å; angles 90.00, 100.00, 90.00 degrees
Positions (direct):
1 V 0.0646 0.0009 0.2585
2 V 0.0646 0.4991 0.7585
3 V 0.9354 0.5009 0.2415
4 V 0.9354 0.9991 0.7415
5 P 0.0328 0.2494 0.0033
6 P 0.0328 0.2506 0.5033
7 P 0.4266 0.5438 0.7689
8 P 0.4266 0.9562 0.2689
9 P 0.5734 0.0438 0.7311
10 P 0.5734 0.4562 0.2311
11 P 0.9672 0.7494 0.4967
12 P 0.9672 0.7506 0.9967
13 Pb 0.2846 0.6466 0.1078
14 Pb 0.2846 0.8534 0.6078
15 Pb 0.3608 0.1926 0.9796
16 Pb 0.3608 0.3074 0.4796
17 Pb 0.6392 0.6926 0.5204
18 Pb 0.6392 0.8074 0.0204
19 Pb 0.7154 0.1466 0.3922
20 Pb 0.7154 0.3534 0.8922
21 O 0.0628 0.6498 0.9196
22 O 0.0628 0.8502 0.4196
23 O 0.0727 0.6605 0.6124
24 O 0.0727 0.8395 0.1124
25 O 0.0994 0.5354 0.2726
26 O 0.0994 0.9646 0.7726
27 O 0.1294 0.1477 0.1153
28 O 0.1294 0.3523 0.6153
29 O 0.1313 0.1525 0.4245
30 O 0.1313 0.3475 0.9245
31 O 0.2966 0.5875 0.8371
32 O 0.2966 0.9125 0.3371
33 O 0.4117 0.6111 0.6017
34 O 0.4117 0.8889 0.1017
35 O 0.4384 0.0956 0.6242
36 O 0.4384 0.4044 0.1242
37 O 0.4398 0.1270 0.2539
38 O 0.4398 0.3730 0.7539
39 O 0.5602 0.6270 0.2461
40 O 0.5602 0.8730 0.7461
41 O 0.5616 0.5956 0.8758
42 O 0.5616 0.9044 0.3758
43 O 0.5883 0.1111 0.8983
44 O 0.5883 0.3889 0.3983
45 O 0.7034 0.0875 0.6629
46 O 0.7034 0.4125 0.1629
47 O 0.8687 0.6525 0.0755
48 O 0.8687 0.8475 0.5755
49 O 0.8706 0.6477 0.3847
50 O 0.8706 0.8523 0.8847
51 O 0.9006 0.0354 0.2274
52 O 0.9006 0.4646 0.7274
53 O 0.9273 0.1605 0.8876
54 O 0.9273 0.3395 0.3876
55 O 0.9372 0.1498 0.5804
56 O 0.9372 0.3502 0.0804



# 8
The following is a DFT calculation (GGA-PBEsol) of a geometry-optimized MgCu2O4 structure.

Properties
size of the total moment: 0.0 μB/cell
ρ: 5.4 Mg/m³
energy relative to the elements, uncorrected: -7.93 eV/f.u.
excess energy over the best structure of this formula in the dataset: 0 meV per atom

Cell lengths 5.9933, 5.9933, 5.9933 Å; angles 126.81, 126.81, 78.57 degrees
Positions (direct):
1 Mg 0.3750 0.1250 0.2500
2 Mg 0.6250 0.8750 0.7500
3 Cu 0.0000 0.0000 0.5000
4 Cu 0.0000 0.5000 0.0000
5 Cu 0.0000 0.5000 0.5000
6 Cu 0.5000 0.5000 0.0000
7 O 0.0183 0.7228 0.8929
8 O 0.2228 0.8299 0.7045
9 O 0.3299 0.1254 0.6071
10 O 0.3746 0.4817 0.2045
11 O 0.6254 0.5183 0.7955
12 O 0.6701 0.8746 0.3929
13 O 0.7772 0.1701 0.2955
14 O 0.9817 0.2772 0.1071



# 9
The following is a DFT calculation (GGA-PBEsol) of a geometry-optimized IrPdRhN2 structure.

Properties
size of the total moment: 0.7 μB/cell
density of states at the Fermi level: 1.20 states/eV per atom
ρ: 10.3 Mg/m³
energy relative to the elements, uncorrected: 7.85 eV/f.u.

Cell lengths 3.6923, 3.6923, 5.0733 Å; angles 90.00, 90.00, 90.00 degrees
Positions (direct):
1 Ir 0.0000 0.0000 0.0000
2 Pd 0.5000 0.5000 0.0000
3 Rh 0.5000 0.5000 0.5000
4 N 0.0000 0.5000 0.5000
5 N 0.5000 0.0000 0.5000



# 10
The following is a DFT calculation (GGA-PBEsol) of a geometry-optimized Ce3Si4Ni4 structure.

Properties
size of the total moment: 0.0 μB/cell
density of states at the Fermi level: 0.99 states/eV per atom
ρ: 7.0 Mg/m³
energy relative to the elements, uncorrected: -8.72 eV/f.u.

Cell lengths 11.9366, 11.9366, 11.9366 Å; angles 161.06, 160.71, 27.16 degrees
Positions (direct):
1 Ce 0.0000 0.0000 0.0000
2 Ce 0.3505 0.8505 0.5000
3 Ce 0.6495 0.1495 0.5000
4 Si 0.1983 0.6983 0.5000
5 Si 0.4488 0.4488 0.0000
6 Si 0.5512 0.5512 0.0000
7 Si 0.8017 0.3017 0.5000
8 Ni 0.0982 0.5982 0.5000
9 Ni 0.2496 0.2496 0.0000
10 Ni 0.7504 0.7504 0.0000
11 Ni 0.9018 0.4018 0.5000



# 11
The following is a DFT calculation (GGA-PBEsol) of a geometry-optimized K2CrIn structure.

Properties
size of the total moment: 4.9 μB/cell
density of states at the Fermi level: 0.63 states/eV per atom
formation energy: 0.818 eV/atom
ρ: 3.1 Mg/m³

Cell lengths 12.1671, 12.1671, 12.1671 Å; angles 16.70, 16.70, 16.70 degrees
Positions (direct):
1 K 0.2489 0.2489 0.2489
2 K 0.7511 0.7511 0.7511
3 Cr 0.5000 0.5000 0.5000
4 In 0.0000 0.0000 0.0000



# 12
The following is a DFT calculation (GGA-PBEsol) of a geometry-optimized As2OsSe structure.

Properties
size of the total moment: 0.0 μB/cell
density of states at the Fermi level: 0.58 states/eV per atom
ρ: 10.6 Mg/m³
energy relative to the elements, uncorrected: 2.62 eV/f.u.
excess energy over the best structure of this formula in the dataset: 339 meV per atom

Cell lengths 4.6619, 4.6619, 3.1437 Å; angles 90.00, 90.00, 106.27 degrees
Positions (direct):
1 As 0.0000 0.5000 0.0000
2 As 0.5000 0.0000 0.0000
3 Os 0.0000 0.0000 0.5000
4 Se 0.5000 0.5000 0.5000



- Look up the size of the total moment of the first one.
  0.0 μB/cell